MnFe2O2 after structural relaxation, computed with GGA+U.

Unit cell a=5.2191 b=5.2191 c=5.2191 alpha=137.90 beta=137.90 gamma=61.06
Positions (direct):
Mn  0.0000  0.0000  0.0000
Fe  0.3531  0.3531  0.0000
Fe  0.6469  0.6469  0.0000
O  0.2500  0.7500  0.5000
O  0.7500  0.2500  0.5000

Properties
The final energy is -6.14 eV/atom. As for the energy relative to the lowest polymorph listed for this composition: 25.2 meV per atom. The calculation puts the total moment at 12.79 μB per formula unit.